DFT (PBE) results for an optimized crystal structure of AcPm2Nd2Ho2.

Cell: 6.3593 6.3593 8.2108 Å, 97.48 97.48 48.32°
With the nearest neighbours (Å) after each atom.
Atoms (fractional coordinates):
Ac: 0.0000 0.0000 0.0000  6 Pm 3.69-3.70, 2 Ho 3.71, 4 Nd 3.72
Pm: 0.2857 0.2857 0.8488  3 Ho 3.57-3.66, 4 Nd 3.65-3.77, 3 Ac 3.69-3.70, 2 Pm 3.77
Pm: 0.7143 0.7143 0.1512  3 Ho 3.57-3.66, 4 Nd 3.65-3.77, 3 Ac 3.69-3.70, 2 Pm 3.77
Nd: 0.4258 0.4258 0.2916  1 Nd 3.60, 5 Ho 3.61-3.69, 4 Pm 3.65-3.77, 2 Ac 3.72
Nd: 0.5742 0.5742 0.7084  1 Nd 3.60, 5 Ho 3.61-3.69, 4 Pm 3.65-3.77, 2 Ac 3.72
Ho: 0.1429 0.1429 0.4341  3 Pm 3.57-3.66, 5 Nd 3.61-3.69, 3 Ho 3.63-3.66, 1 Ac 3.71
Ho: 0.8571 0.8571 0.5659  3 Pm 3.57-3.66, 5 Nd 3.61-3.69, 3 Ho 3.63-3.66, 1 Ac 3.71

The value obtained for the final energy is -4.581 eV/atom.

***

DFT (PBE) results for an optimized crystal structure of AcPmNd6Ho2.

Cell: 9.0647 9.0682 9.8410 Å, 93.19 93.30 117.32°
With the nearest neighbours (Å) after each atom.
Atoms (fractional coordinates):
Ac: 0.0293 0.4685 0.2500  4 Ho 3.53-3.60, 6 Nd 3.72-3.92
Ac: 0.9707 0.5315 0.7500  4 Ho 3.53-3.60, 6 Nd 3.72-3.92
Pm: 0.4094 0.0903 0.7497  6 Nd 3.50-3.66, 2 Ho 3.64-3.65
Pm: 0.5906 0.9097 0.2503  6 Nd 3.50-3.66, 2 Ho 3.64-3.65
Nd: 0.0124 0.0538 0.1802  3 Nd 3.31-3.66, 2 Ho 3.53-3.61, 1 Pm 3.55
Nd: 0.1165 0.2526 0.5548  7 Nd 3.49-3.91, 1 Ho 3.63, 2 Ac 3.83-3.91
Nd: 0.2481 0.3838 0.9455  7 Nd 3.49-3.91, 1 Ho 3.63, 1 Ac 3.83
Nd: 0.2934 0.0113 0.3808  4 Nd 3.31-3.66, 3 Ho 3.35-3.52, 2 Pm 3.51-3.66
Nd: 0.4456 0.4868 0.3194  3 Nd 3.31-3.66, 2 Ho 3.52-3.61, 1 Pm 3.56
Nd: 0.4894 0.2063 0.1189  4 Nd 3.31-3.66, 3 Ho 3.35-3.53, 2 Pm 3.50-3.66
Nd: 0.5106 0.7937 0.8811  4 Nd 3.31-3.66, 3 Ho 3.35-3.53, 2 Pm 3.50-3.66
Nd: 0.5544 0.5132 0.6806  3 Nd 3.31-3.66, 2 Ho 3.52-3.61, 1 Pm 3.56
Nd: 0.7066 0.9887 0.6192  4 Nd 3.31-3.66, 3 Ho 3.35-3.52, 2 Pm 3.51-3.66
Nd: 0.7519 0.6162 0.0545  7 Nd 3.49-3.91, 1 Ho 3.63, 1 Ac 3.83
Nd: 0.8835 0.7474 0.4452  7 Nd 3.49-3.91, 1 Ho 3.63, 2 Ac 3.83-3.91
Nd: 0.9876 0.9462 0.8198  3 Nd 3.31-3.66, 2 Ho 3.53-3.61, 1 Pm 3.55
Ho: 0.2010 0.8073 0.0484  6 Nd 3.35-3.63, 2 Ac 3.53-3.59, 1 Pm 3.64
Ho: 0.3081 0.7013 0.5470  6 Nd 3.35-3.63, 2 Ac 3.53-3.60, 1 Pm 3.65
Ho: 0.6919 0.2987 0.4530  6 Nd 3.35-3.63, 2 Ac 3.53-3.60, 1 Pm 3.65
Ho: 0.7990 0.1927 0.9516  6 Nd 3.35-3.63, 2 Ac 3.53-3.59, 1 Pm 3.64

The value obtained for the final energy is -4.544 eV/atom.

***

DFT (PBE) results for an optimized crystal structure of AcPm3NdHo.

Cell: 8.2623 5.2258 10.4343 Å, 90.00 108.65 90.00°
With the nearest neighbours (Å) after each atom.
Atoms (fractional coordinates):
Ac: 0.1687 0.2500 0.2932  3 Ho 3.66-3.69, 8 Pm 3.71-3.73, 1 Nd 3.72
Ac: 0.8313 0.7500 0.7068  3 Ho 3.66-3.69, 8 Pm 3.71-3.73, 1 Nd 3.72
Pm: 0.1708 0.7500 0.0403  3 Nd 3.63-3.69, 1 Ho 3.68, 5 Pm 3.68-3.77, 3 Ac 3.71-3.72
Pm: 0.1718 0.2500 0.7919  1 Ho 3.64, 3 Nd 3.65-3.68, 6 Pm 3.66-3.77, 2 Ac 3.73
Pm: 0.1722 0.7500 0.5458  1 Nd 3.62, 3 Ho 3.65-3.71, 5 Pm 3.66-3.75, 3 Ac 3.71
Pm: 0.8278 0.2500 0.4542  1 Nd 3.62, 3 Ho 3.65-3.71, 5 Pm 3.66-3.75, 3 Ac 3.71
Pm: 0.8282 0.7500 0.2081  1 Ho 3.64, 3 Nd 3.65-3.68, 6 Pm 3.66-3.77, 2 Ac 3.73
Pm: 0.8292 0.2500 0.9597  3 Nd 3.63-3.69, 1 Ho 3.68, 5 Pm 3.68-3.77, 3 Ac 3.71-3.72
Nd: 0.4964 0.7500 0.8747  7 Pm 3.62-3.69, 2 Nd 3.68, 2 Ho 3.69, 1 Ac 3.72
Nd: 0.5036 0.2500 0.1253  7 Pm 3.62-3.69, 2 Nd 3.68, 2 Ho 3.69, 1 Ac 3.72
Ho: 0.4981 0.2500 0.6258  5 Pm 3.64-3.71, 3 Ac 3.66-3.69, 2 Nd 3.69, 2 Ho 3.71
Ho: 0.5019 0.7500 0.3742  5 Pm 3.64-3.71, 3 Ac 3.66-3.69, 2 Nd 3.69, 2 Ho 3.71

The value obtained for the final energy is -4.582 eV/atom.

***

DFT (PBE) results for an optimized crystal structure of Ac5PmNd2Ho.

Cell: 11.9574 11.9574 11.9574 Å, 138.55 138.55 60.06°
With the nearest neighbours (Å) after each atom.
Atoms (fractional coordinates):
Ac: 0.0000 0.0000 0.0000  4 Nd 3.36
Ac: 0.0867 0.5867 0.9477  1 Nd 3.38, 1 Ho 3.55
Ac: 0.1390 0.0867 0.5000  1 Nd 3.38, 1 Ho 3.55
Ac: 0.3610 0.8610 0.9477  1 Nd 3.38, 1 Ho 3.55
Ac: 0.4133 0.3610 0.5000  1 Nd 3.38, 1 Ho 3.55
Ac: 0.5000 0.5000 0.0000  4 Nd 3.36
Ac: 0.5867 0.6390 0.5000  1 Nd 3.38, 1 Ho 3.55
Ac: 0.6390 0.1390 0.0523  1 Nd 3.38, 1 Ho 3.55
Ac: 0.8610 0.9133 0.5000  1 Nd 3.38, 1 Ho 3.55
Ac: 0.9133 0.4133 0.0523  1 Nd 3.38, 1 Ho 3.55
Pm: 0.2500 0.2500 0.0000  8 Ac 3.81, 4 Ho 4.23
Pm: 0.7500 0.7500 0.0000  8 Ac 3.81, 4 Ho 4.23
Nd: 0.1223 0.3777 0.5000  1 Nd 2.93
Nd: 0.3777 0.8777 0.2554  1 Nd 2.93
Nd: 0.6223 0.1223 0.7446  1 Nd 2.93
Nd: 0.8777 0.6223 0.5000  1 Nd 2.93
Ho: 0.2500 0.7500 0.5000  4 Ac 3.55
Ho: 0.7500 0.2500 0.5000  4 Ac 3.55

The value obtained for the final energy is -4.091 eV/atom.

***

DFT (PBE) results for an optimized crystal structure of Ac2PrNdHo.

Cell: 6.5178 8.8410 6.8893 Å, 90.00 90.00 90.00°
With the nearest neighbours (Å) after each atom.
Atoms (fractional coordinates):
Ac: 0.2500 0.2067 0.2105  1 Pr 3.31, 2 Ho 3.65, 1 Ac 3.65
Ac: 0.2500 0.7933 0.2105  1 Pr 3.31, 2 Ho 3.65, 1 Ac 3.65
Ac: 0.7500 0.2067 0.7895  1 Pr 3.31, 2 Ho 3.65, 1 Ac 3.65
Ac: 0.7500 0.7933 0.7895  1 Pr 3.31, 2 Ho 3.65, 1 Ac 3.65
Pr: 0.2500 0.5000 0.9126  2 Ho 3.28, 2 Ac 3.31, 2 Pr 3.47
Pr: 0.7500 0.5000 0.0874  2 Ho 3.28, 2 Ac 3.31, 2 Pr 3.47
Nd: 0.2500 0.0000 0.6818  8 Ac 3.73-4.07, 2 Nd 4.11
Nd: 0.7500 0.0000 0.3182  8 Ac 3.73-4.07, 2 Nd 4.11
Ho: 0.0000 0.5000 0.5000  2 Ho 3.26, 2 Pr 3.28
Ho: 0.5000 0.5000 0.5000  2 Ho 3.26, 2 Pr 3.28

The value obtained for the final energy is -4.226 eV/atom.

***

DFT (PBE) results for an optimized crystal structure of AcPrNdHo2.

Cell: 9.3459 9.3459 6.5998 Å, 90.00 90.00 139.25°
With the nearest neighbours (Å) after each atom.
Atoms (fractional coordinates):
Ac: 0.1570 0.8430 0.7500  1 Pr 3.35, 2 Nd 3.48, 4 Ho 3.59
Ac: 0.8430 0.1570 0.2500  1 Pr 3.35, 2 Nd 3.48, 4 Ho 3.59
Pr: 0.3480 0.6520 0.7500  1 Ac 3.35, 2 Nd 3.47, 4 Ho 3.54
Pr: 0.6520 0.3480 0.2500  1 Ac 3.35, 2 Nd 3.47, 4 Ho 3.54
Nd: 0.2203 0.7797 0.2500  2 Pr 3.47, 2 Ac 3.48
Nd: 0.7797 0.2203 0.7500  2 Pr 3.47, 2 Ac 3.48
Ho: 0.2475 0.2475 0.0000  4 Ho 3.22-3.30, 2 Pr 3.54, 2 Ac 3.59
Ho: 0.2475 0.2475 0.5000  4 Ho 3.22-3.30, 2 Pr 3.54, 2 Ac 3.59
Ho: 0.7525 0.7525 0.0000  4 Ho 3.22-3.30, 2 Pr 3.54, 2 Ac 3.59
Ho: 0.7525 0.7525 0.5000  4 Ho 3.22-3.30, 2 Pr 3.54, 2 Ac 3.59

The value obtained for the final energy is -4.214 eV/atom.

***

Number 1: ΔH_f (0 K) 0.8 kcal/mol of atoms. Number 2: ΔH_f (0 K) 2.7 kcal/mol of atoms. Number 3: ΔH_f (0 K) 0.8 kcal/mol of atoms. Number 4: ΔH_f (0 K) 6.6 kcal/mol of atoms. Number 5: ΔH_f (0 K) 5.6 kcal/mol of atoms. Number 6: ΔH_f (0 K) 8.0 kcal/mol of atoms.